# 1
# CdNiI2, relaxed, DFT PBE-GGA
data_CdNiI2
_chemical_formula_sum 'Cd4 Ni4 I8'
_cell_length_a 6.504
_cell_length_b 6.504
_cell_length_c 12.069
_cell_angle_alpha 90.00
_cell_angle_beta 90.00
_cell_angle_gamma 90.00
_symmetry_space_group_name_H-M 'I -4 2 d'
_symmetry_Int_Tables_number 122
_symmetry_space_group_name_Hall 'I -4 2bw'
loop_
_atom_site_label
_atom_site_fract_x
_atom_site_fract_y
_atom_site_fract_z
Cd1 0.000 0.000 0.000
Ni1 0.000 0.000 0.500
I1 0.189 0.250 0.625
# * ΔE to the lowest computed polymorph: 0 meV per atom
# * E_tot: -2.43 eV per atom

---

# 2
# CdNiI3, relaxed, DFT PBE-GGA
data_CdNiI3
_chemical_formula_sum 'Cd1 Ni1 I3'
_cell_length_a 5.349
_cell_length_b 5.349
_cell_length_c 5.349
_cell_angle_alpha 90.00
_cell_angle_beta 90.00
_cell_angle_gamma 90.00
_symmetry_space_group_name_H-M 'P m -3 m'
_symmetry_Int_Tables_number 221
_symmetry_space_group_name_Hall '-P 4 2 3'
loop_
_atom_site_label
_atom_site_fract_x
_atom_site_fract_y
_atom_site_fract_z
Cd1 0.000 0.000 0.000
Ni1 0.500 0.500 0.500
I1 0.000 0.500 0.500
# * ΔE to the lowest computed polymorph: 0 meV per atom
# * E_tot: -2.19 eV per atom